DyCoGe | PBE | optimized geometry

Properties
**Size of the total moment**: 4.68 μB/cell
**Total DFT energy (no corrections)**: -5.015 eV/atom

Unit cell a=6.415 b=6.415 c=6.415 alpha=90.00 beta=90.00 gamma=90.00
Fractional positions:
Dy: 0.000 0.000 0.000
Dy: 0.000 0.500 0.500
Dy: 0.500 0.000 0.500
Dy: 0.500 0.500 0.000
Co: 0.250 0.250 0.750
Co: 0.250 0.750 0.250
Co: 0.750 0.250 0.250
Co: 0.750 0.750 0.750
Ge: 0.250 0.250 0.250
Ge: 0.250 0.750 0.750
Ge: 0.750 0.250 0.750
Ge: 0.750 0.750 0.250